[1]
## LaMgGa2Ir (PBE)

Data for a geometry-optimized LaMgGa2Ir structure.

Summary:
Total DFT energy (no corrections), eV/f.u.: -24.00
Symmetry: No. 119

The structure in POSCAR format:
```
LaMgGa2Ir
1.0
-2.093 2.093 5.793
2.093 -2.093 5.793
2.093 2.093 -5.793
La Mg Ga Ir
1 1 2 1
direct
0.000 0.000 0.000 La
0.750 0.250 0.500 Mg
0.385 0.385 0.000 Ga
0.615 0.615 0.000 Ga
0.250 0.750 0.500 Ir
```


[2]
## TbTmPt (PBE)

Data for a geometry-optimized TbTmPt structure.

Summary:
Total DFT energy (no corrections), eV/f.u.: -15.54
Symmetry: No. 216
Energy of formation, meV per atom: -127

The structure in POSCAR format:
```
TbTmPt
1.0
0.000 3.343 3.343
3.343 0.000 3.343
3.343 3.343 0.000
Tb Tm Pt
1 1 1
direct
0.000 0.000 0.000 Tb
0.750 0.750 0.750 Tm
0.500 0.500 0.500 Pt
```


[3]
## DyYEr6 (PBE)

Data for a geometry-optimized DyYEr6 structure.

Summary:
Total DFT energy (no corrections), eV/f.u.: -38.44
Symmetry: No. 187
Energy of formation, meV per atom: 1

The structure in POSCAR format:
```
DyYEr6
1.0
7.179 0.000 0.000
-3.589 6.217 0.000
0.000 0.000 5.576
Dy Y Er
1 1 6
direct
0.000 0.000 0.000 Dy
0.667 0.333 0.500 Y
0.002 0.501 0.000 Er
0.168 0.335 0.500 Er
0.168 0.832 0.500 Er
0.499 0.501 0.000 Er
0.499 0.998 0.000 Er
0.665 0.832 0.500 Er
```


[4]
## KSiAu3 (PBE)

Data for a geometry-optimized KSiAu3 structure.

Summary:
Total DFT energy (no corrections), eV/f.u.: -17.44
Symmetry: No. 221

The structure in POSCAR format:
```
KSiAu3
1.0
4.951 0.000 0.000
0.000 4.951 0.000
0.000 0.000 4.951
K Si Au
1 1 3
direct
0.000 0.000 0.000 K
0.500 0.500 0.500 Si
0.000 0.500 0.500 Au
0.500 0.000 0.500 Au
0.500 0.500 0.000 Au
```


[5]
## LuHfIn (PBE)

Data for a geometry-optimized LuHfIn structure.

Summary:
Energy above the lowest structure with this stoichiometry, kJ/mol of atoms: 0.00
Total DFT energy (no corrections), eV/f.u.: -15.56
Symmetry: No. 216

The structure in POSCAR format:
```
LuHfIn
1.0
0.000 3.519 3.519
3.519 0.000 3.519
3.519 3.519 0.000
Lu Hf In
1 1 1
direct
0.000 0.000 0.000 Lu
0.750 0.750 0.750 Hf
0.500 0.500 0.500 In
```


[6]
## MgNbAl (PBE)

Data for a geometry-optimized MgNbAl structure.

Summary:
Energy above the lowest structure with this stoichiometry, kJ/mol of atoms: 22.58
Total DFT energy (no corrections), eV/f.u.: -13.19
Symmetry: No. 216

The structure in POSCAR format:
```
MgNbAl
1.0
0.000 3.208 3.208
3.208 0.000 3.208
3.208 3.208 0.000
Mg Nb Al
1 1 1
direct
0.000 0.000 0.000 Mg
0.250 0.250 0.250 Nb
0.500 0.500 0.500 Al
```


[7]
## Ta3B2Sb (PBE)

Data for a geometry-optimized Ta3B2Sb structure.

Summary:
Total DFT energy (no corrections), eV/f.u.: -55.88
Symmetry: No. 194

The structure in POSCAR format:
```
Ta3B2Sb
1.0
3.374 0.000 0.000
-1.687 2.922 0.000
0.000 0.000 18.256
Ta B Sb
6 4 2
direct
0.000 0.000 0.000 Ta
0.000 0.000 0.500 Ta
0.333 0.667 0.134 Ta
0.333 0.667 0.366 Ta
0.667 0.333 0.634 Ta
0.667 0.333 0.866 Ta
0.333 0.667 0.572 B
0.333 0.667 0.928 B
0.667 0.333 0.072 B
0.667 0.333 0.428 B
0.000 0.000 0.250 Sb
0.000 0.000 0.750 Sb
```


[8]
## Ba2Fe (PBE)

Data for a geometry-optimized Ba2Fe structure.

Summary:
Total DFT energy (no corrections), eV/f.u.: -8.78
Symmetry: No. 227

The structure in POSCAR format:
```
Ba2Fe
1.0
0.000 6.072 6.072
6.072 0.000 6.072
6.072 6.072 0.000
Ba Fe
4 2
direct
0.000 0.000 0.000 Ba
0.000 0.000 0.500 Ba
0.000 0.500 0.000 Ba
0.500 0.000 0.000 Ba
0.125 0.125 0.125 Fe
0.875 0.875 0.875 Fe
```